Li2Mn3MoO6: relaxed, PBE with a Hubbard U.

Computed properties:
Electronic total energy: -6.991 eV per atom

Cell: 5.4173 9.3779 5.3818 Å, 90.00 109.53 90.00°
Last column: nearest neighbours and their distance in Å.
Space group C2/m (No. 12)
One atom of each set of equivalent atoms:
Li (0.0000, 0.1647, 0.0000) (multiplicity 4)  6 O 2.20-2.24
Mn (0.0000, 0.0000, 0.5000) (multiplicity 2)  6 O 2.19-2.35
Mn (0.0000, 0.3268, 0.5000) (multiplicity 4)  6 O 2.18-2.25
Mo (0.0000, 0.5000, 0.0000) (multiplicity 2)  6 O 2.06-2.13
O (0.2331, 0.5000, 0.7650) (multiplicity 4)  1 Mo 2.06, 2 Li 2.20, 2 Mn 2.25
O (0.2401, 0.3406, 0.2457) (multiplicity 8)  1 Mo 2.13, 3 Mn 2.18-2.24, 2 Li 2.23-2.24